No. 1
# Li2B3C3 (GGA-PBE, relaxed)
data_Li2B3C3
_symmetry_space_group_name_H-M 'C 1 2/m 1'
_symmetry_Int_Tables_number 12
_cell_length_a 14.041
_cell_length_b 2.719
_cell_length_c 8.650
_cell_angle_alpha 90.00
_cell_angle_beta 122.03
_cell_angle_gamma 90.00
loop_
_symmetry_equiv_pos_as_xyz
'x,y,z'
'-x,-y,-z'
'-x,y,-z'
'x,-y,z'
'x+1/2,y+1/2,z'
'-x+1/2,-y+1/2,-z'
'-x+1/2,y+1/2,-z'
'x+1/2,-y+1/2,z'
loop_
_atom_site_label
_atom_site_fract_x
_atom_site_fract_y
_atom_site_fract_z
_atom_site_occupancy
Li1 0.152 0.000 0.496 1
Li2 0.157 0.500 0.008 1
B1 0.028 0.500 0.241 1
B2 0.138 0.000 0.758 1
B3 0.201 0.000 0.263 1
C1 0.030 0.000 0.767 1
C2 0.147 0.500 0.267 1
C3 0.194 0.500 0.754 1
# ΔH_f (0 K), eV per atom: -0.18
# Polymorph energy (0 for the lowest one), meV per atom: 2.1
# M_tot, μB per formula unit: 0.0
# Crystal system: monoclinic
# Uncorrected energy, eV per atom: -6.617

=====

No. 2
# La4PmNd7 (GGA-PBE, relaxed)
data_La4PmNd7
_symmetry_space_group_name_H-M 'P -1'
_symmetry_Int_Tables_number 2
_cell_length_a 6.455
_cell_length_b 7.454
_cell_length_c 9.243
_cell_angle_alpha 89.98
_cell_angle_beta 76.45
_cell_angle_gamma 89.97
loop_
_symmetry_equiv_pos_as_xyz
'x,y,z'
'-x,-y,-z'
loop_
_atom_site_label
_atom_site_fract_x
_atom_site_fract_y
_atom_site_fract_z
_atom_site_occupancy
La1 0.222 0.248 0.331 1
La2 0.277 0.501 0.668 1
Pm1 0.500 0.000 0.000 1
Nd1 0.000 0.249 0.999 1
Nd2 0.225 0.752 0.329 1
Nd3 0.278 0.000 0.671 1
Nd4 0.500 0.500 0.000 1
# ΔH_f (0 K), eV per atom: 0.02
# Polymorph energy (0 for the lowest one), meV per atom: 0.0
# M_tot, μB per formula unit: 0.0
# Crystal system: triclinic
# Uncorrected energy, eV per atom: -4.804

=====

No. 3
# ErSc3Ir (GGA-PBE, relaxed)
data_ErSc3Ir
_symmetry_space_group_name_H-M 'P m m n'
_symmetry_Int_Tables_number 59
_cell_length_a 4.819
_cell_length_b 7.702
_cell_length_c 6.241
_cell_angle_alpha 90.00
_cell_angle_beta 90.00
_cell_angle_gamma 90.00
loop_
_symmetry_equiv_pos_as_xyz
'x,y,z'
'-x,-y,-z'
'-x+1/2,-y+1/2,z'
'x+1/2,y+1/2,-z'
'x+1/2,-y,-z'
'-x+1/2,y,z'
'-x,y+1/2,-z'
'x,-y+1/2,z'
loop_
_atom_site_label
_atom_site_fract_x
_atom_site_fract_y
_atom_site_fract_z
_atom_site_occupancy
Er1 0.250 0.250 0.215 1
Sc1 0.250 0.055 0.683 1
Sc2 0.250 0.750 0.087 1
Ir1 0.250 0.750 0.509 1
# ΔH_f (0 K), eV per atom: -0.41
# M_tot, μB per formula unit: 0.0
# Crystal system: orthorhombic
# Uncorrected energy, eV per atom: -6.890

=====

No. 4
# Li2Zn2Au (GGA-PBE, relaxed)
data_Li2Zn2Au
_symmetry_space_group_name_H-M 'P 4/m b m'
_symmetry_Int_Tables_number 127
_symmetry_space_group_name_Hall '-P 4 2ab'
_cell_length_a 6.755
_cell_length_b 6.755
_cell_length_c 3.572
_cell_angle_alpha 90.00
_cell_angle_beta 90.00
_cell_angle_gamma 90.00
loop_
_atom_site_label
_atom_site_fract_x
_atom_site_fract_y
_atom_site_fract_z
_atom_site_occupancy
Li1 0.172 0.328 0.000 1
Zn1 0.132 0.632 0.500 1
Au1 0.000 0.000 0.500 1
# ΔH_f (0 K), eV per atom: -0.25
# Polymorph energy (0 for the lowest one), meV per atom: 121.8
# M_tot, μB per formula unit: 0.0
# Crystal system: tetragonal
# Uncorrected energy, eV per atom: -2.180